1 | First-principles (PBE) data for crystalline Tb2ThNi at its relaxed geometry, as listed in Alexandria via LeMat-Bulk.

The structure in POSCAR format:
```
Tb2ThNi
1.0
1.758 1.015 10.499
-1.758 1.015 10.499
0.000 -2.030 10.499
Tb Th Ni
2 1 1
Direct
0.110 0.110 0.110
0.890 0.890 0.890
0.000 0.000 0.000
0.500 0.500 0.500
```

Output
As for the space-group type: R-3m (166).



2 | First-principles (PBE) data for crystalline Tb2ThNi at its relaxed geometry, as listed in Alexandria via LeMat-Bulk.

The structure in POSCAR format:
```
Tb2ThNi
1.0
6.861 0.000 0.000
0.000 9.758 0.000
0.000 0.000 6.394
Tb Th Ni
8 4 4
Direct
0.180 0.067 0.170
0.180 0.433 0.170
0.320 0.567 0.670
0.320 0.933 0.670
0.680 0.067 0.330
0.680 0.433 0.330
0.820 0.567 0.830
0.820 0.933 0.830
0.040 0.250 0.654
0.460 0.750 0.154
0.540 0.250 0.846
0.960 0.750 0.346
0.121 0.750 0.946
0.379 0.250 0.446
0.621 0.750 0.554
0.879 0.250 0.054
```

Output
As for the space-group type: Pnma (62).



Most stable: 2



1 | First-principles (PBE) data for crystalline TbTiNi2 at its relaxed geometry, as listed in Alexandria via LeMat-Bulk.

The structure in POSCAR format:
```
TbTiNi2
1.0
3.108 0.000 0.000
0.000 3.108 0.000
0.000 0.000 6.775
Tb Ti Ni
1 1 2
Direct
0.000 0.000 0.000
0.000 0.000 0.500
0.500 0.500 0.305
0.500 0.500 0.695
```

Output
As for the space-group type: P4/mmm (123).



2 | First-principles (PBE) data for crystalline TbTiNi2 at its relaxed geometry, as listed in Alexandria via LeMat-Bulk.

The structure in POSCAR format:
```
TbTiNi2
1.0
4.543 0.000 0.000
0.000 4.543 0.000
0.000 0.000 3.179
Tb Ti Ni
1 1 2
Direct
0.000 0.000 0.000
0.500 0.500 0.000
0.000 0.500 0.500
0.500 0.000 0.500
```

Output
As for the space-group type: P4/mmm (123).



3 | First-principles (PBE) data for crystalline TbTiNi2 at its relaxed geometry, as listed in Alexandria via LeMat-Bulk.

The structure in POSCAR format:
```
TbTiNi2
1.0
2.094 1.209 4.660
-2.094 1.209 4.660
0.000 -2.418 4.660
Tb Ti Ni
1 1 2
Direct
0.000 0.000 0.000
0.500 0.500 0.500
0.205 0.205 0.205
0.795 0.795 0.795
```

Output
As for the space-group type: R-3m (166).



Most stable: 3



1 | First-principles (PBE) data for crystalline Tb4TlNi at its relaxed geometry, as listed in Alexandria via LeMat-Bulk.

The structure in POSCAR format:
```
Tb4TlNi
1.0
0.000 6.832 6.832
6.832 0.000 6.832
6.832 6.832 0.000
Tb Tl Ni
16 4 4
Direct
0.187 0.187 0.813
0.187 0.813 0.187
0.187 0.813 0.813
0.348 0.348 0.348
0.348 0.348 0.955
0.348 0.955 0.348
0.562 0.562 0.938
0.562 0.938 0.562
0.562 0.938 0.938
0.813 0.187 0.187
0.813 0.187 0.813
0.813 0.813 0.187
0.938 0.562 0.562
0.938 0.562 0.938
0.938 0.938 0.562
0.955 0.348 0.348
0.245 0.585 0.585
0.585 0.245 0.585
0.585 0.585 0.245
0.585 0.585 0.585
0.143 0.143 0.143
0.143 0.143 0.571
0.143 0.571 0.143
0.571 0.143 0.143
```

Output
As for the space-group type: F-43m (216).



2 | First-principles (PBE) data for crystalline Tb4TlNi at its relaxed geometry, as listed in Alexandria via LeMat-Bulk.

The structure in POSCAR format:
```
Tb4TlNi
1.0
7.226 0.000 0.000
0.000 7.247 0.000
-0.559 0.000 6.837
Tb Tl Ni
8 2 2
Direct
0.140 0.170 0.185
0.140 0.330 0.685
0.317 0.640 0.099
0.317 0.860 0.599
0.683 0.140 0.401
0.683 0.360 0.901
0.860 0.670 0.315
0.860 0.830 0.815
0.500 0.000 0.000
0.500 0.500 0.500
0.000 0.000 0.500
0.000 0.500 0.000
```

Output
As for the space-group type: P2_1/c (14).



Most stable: 1